No. 1
{
  "formula": "CaMgZn",
  "functional": "SCAN",
  "state": "single point on PBEsol structure",
  "cell": [[-2.137, -3.656, 2.343], [0.834, -0.333, -4.756], [6.343, -2.867, 1.313]],
  "species": ["Mg", "Ca", "Ca", "Mg", "Zn", "Zn"],
  "frac_coords": [[0.667, 0.333, 0.750], [0.000, 0.000, 0.000], [0.000, 0.000, 0.500], [0.333, 0.667, 0.250], [0.333, 0.667, 0.750], [0.667, 0.333, 0.250]],
  "total_energy_ev_per_atom": -9.538,
  "crystal_system": "hexagonal",
  "magnetic_moment_mub_per_cell": 0.00
}

***

No. 2
{
  "formula": "CaMg2Zn",
  "functional": "SCAN",
  "state": "single point on PBEsol structure",
  "cell": [[4.133, 0.000, 0.000], [0.000, 4.133, 0.000], [0.000, 0.000, 11.214]],
  "species": ["Mg", "Ca", "Zn", "Ca", "Zn", "Mg", "Mg", "Mg"],
  "frac_coords": [[0.000, 0.500, 0.929], [0.000, 0.500, 0.242], [0.000, 0.500, 0.673], [0.500, 0.000, 0.758], [0.500, 0.000, 0.327], [0.000, 0.000, 0.500], [0.500, 0.000, 0.071], [0.500, 0.500, 0.500]],
  "total_energy_ev_per_atom": -8.447,
  "crystal_system": "tetragonal",
  "magnetic_moment_mub_per_cell": 0.08
}

***

No. 3
{
  "formula": "CaMgZn",
  "functional": "SCAN",
  "state": "single point on PBEsol structure",
  "cell": [[6.431, 0.000, 0.000], [0.000, 6.950, -0.020], [0.000, 1.708, 6.785]],
  "species": ["Ca", "Ca", "Zn", "Mg", "Ca", "Zn", "Zn", "Ca", "Mg", "Zn", "Mg", "Mg"],
  "frac_coords": [[0.632, 0.717, 0.073], [0.868, 0.217, 0.573], [0.444, 0.985, 0.676], [0.371, 0.341, 0.416], [0.132, 0.783, 0.427], [0.556, 0.015, 0.324], [0.944, 0.515, 0.824], [0.368, 0.283, 0.927], [0.129, 0.841, 0.916], [0.056, 0.485, 0.176], [0.629, 0.659, 0.584], [0.871, 0.159, 0.084]],
  "total_energy_ev_per_atom": -9.545,
  "crystal_system": "monoclinic",
  "magnetic_moment_mub_per_cell": 0.00
}

***

No. 4
{
  "formula": "CaMg2Zn",
  "functional": "SCAN",
  "state": "single point on PBEsol structure",
  "cell": [[-1.364, -0.723, -3.072], [2.910, -1.582, -0.920], [-2.782, -6.763, 2.826]],
  "species": ["Zn", "Mg", "Mg", "Ca"],
  "frac_coords": [[0.000, 0.000, 0.469], [0.500, 0.500, 0.283], [0.000, 0.000, 0.032], [0.500, 0.500, 0.716]],
  "total_energy_ev_per_atom": -8.412,
  "crystal_system": "tetragonal",
  "magnetic_moment_mub_per_cell": 0.02
}